YIn2Cl | PBE-GGA | optimized geometry

Results
The calculated density is 5.44 g cm⁻³. The offset from the most stable computed form comes out at 415.9 meV per atom. The formation energy (no corrections) is -0.316 eV per atom. Its calculated total energy is -3.76 eV/atom. For the volume, the calculation gives 27.03 Å³/atom.

Cell and atoms, written as CIF:
```
data_YIn2Cl
_symmetry_space_group_name_H-M 'C m m m'
_symmetry_Int_Tables_number 65
_symmetry_space_group_name_Hall '-C 2 2'
_cell_length_a 3.7193
_cell_length_b 6.0045
_cell_length_c 9.6832
_cell_angle_alpha 90.00
_cell_angle_beta 90.00
_cell_angle_gamma 90.00
loop_
_atom_site_label
_atom_site_fract_x
_atom_site_fract_y
_atom_site_fract_z
Y1 0.0000 0.0000 0.0000
In1 0.0000 0.5000 0.2636
Cl1 0.0000 0.0000 0.5000
```